Computed, not measured: LiNd2VO6 after structural relaxation at the GGA+U level of DFT.

Output
final energy: -76.0 eV per formula unit
M_tot: 0.0 μB per cell
V: 238.5 Å³ per cell
N(E_F): 0.00 states/eV per cell

Cell: 5.4251 5.7202 7.6867 Å, 90.00 89.61 90.00°
Closest atoms and distances in Å follow each position.
Element x y z (fractional)
V: 0.0000 0.5000 0.0000  6 O 1.90-1.93
O: 0.7851 0.8164 0.5442  1 V 1.90
Nd: 0.9860 0.0658 0.7486  6 O 2.36-2.59
O: 0.2149 0.1836 0.4558  1 V 1.90
O: 0.6817 0.2811 0.5500  1 V 1.93
O: 0.8183 0.7811 0.9500  1 V 1.93
Nd: 0.0140 0.9342 0.2514  6 O 2.36-2.59
O: 0.3183 0.7189 0.4500  1 V 1.93
O: 0.9098 0.5274 0.2382  1 V 1.90, 1 Li 2.08
Li: 0.0000 0.5000 0.5000  6 O 2.08-2.18
O: 0.0902 0.4726 0.7618  1 V 1.90, 1 Li 2.08
Li: 0.5000 0.0000 0.0000  6 O 2.08-2.18
O: 0.2851 0.6836 0.0442  1 V 1.90
V: 0.5000 0.0000 0.5000  6 O 1.90-1.93
Nd: 0.4860 0.4342 0.2486  6 O 2.36-2.59
Nd: 0.5140 0.5658 0.7514  6 O 2.36-2.59
O: 0.1817 0.2189 0.0500  1 V 1.93
O: 0.7149 0.3164 0.9558  1 V 1.90
O: 0.4098 0.9726 0.7382  1 V 1.90, 1 Li 2.08
O: 0.5902 0.0274 0.2618  1 V 1.90, 1 Li 2.08